Record 1
An optimized crystal structure of LiNiNO2, computed with PBE+U.

Summary:
Symmetry = P4/mmm (123)
Total magnetic moment = 1.19 μB per atom
Electronic total energy = -3.570 eV per atom

```
data_LiNiNO2
_symmetry_space_group_name_H-M 'P 1'
_symmetry_Int_Tables_number 1
_cell_length_a 3.6411
_cell_length_b 3.6411
_cell_length_c 3.8164
_cell_angle_alpha 90.00
_cell_angle_beta 90.00
_cell_angle_gamma 90.00
loop_
_symmetry_equiv_pos_as_xyz
'x,y,z'
loop_
_atom_site_label
_atom_site_type_symbol
_atom_site_fract_x
_atom_site_fract_y
_atom_site_fract_z
O1 O 0.0000 0.5000 0.0000
O2 O 0.5000 0.0000 0.0000
Li1 Li 0.0000 0.0000 0.0000
N1 N 0.0000 0.0000 0.5000
Ni1 Ni 0.5000 0.5000 0.5000
```


Record 2
An optimized crystal structure of LiNiNO2, computed with PBE+U.

Summary:
Symmetry = P4/mmm (123)
Total magnetic moment = 0.70 μB per atom
Electronic total energy = -4.276 eV per atom

```
data_LiNiNO2
_symmetry_space_group_name_H-M 'P 1'
_symmetry_Int_Tables_number 1
_cell_length_a 3.8084
_cell_length_b 3.8084
_cell_length_c 3.7012
_cell_angle_alpha 90.00
_cell_angle_beta 90.00
_cell_angle_gamma 90.00
loop_
_symmetry_equiv_pos_as_xyz
'x,y,z'
loop_
_atom_site_label
_atom_site_type_symbol
_atom_site_fract_x
_atom_site_fract_y
_atom_site_fract_z
O1 O 0.5000 0.0000 0.0000
O2 O 0.0000 0.5000 0.0000
Ni1 Ni 0.0000 0.0000 0.0000
N1 N 0.0000 0.0000 0.5000
Li1 Li 0.5000 0.5000 0.5000
```


Record 3
An optimized crystal structure of LiNiN2O, computed with PBE+U.

Summary:
Symmetry = P4/mmm (123)
Total magnetic moment = 0.62 μB per atom
Electronic total energy = -4.249 eV per atom

```
data_LiNiN2O
_symmetry_space_group_name_H-M 'P 1'
_symmetry_Int_Tables_number 1
_cell_length_a 3.7062
_cell_length_b 3.7062
_cell_length_c 3.8698
_cell_angle_alpha 90.00
_cell_angle_beta 90.00
_cell_angle_gamma 90.00
loop_
_symmetry_equiv_pos_as_xyz
'x,y,z'
loop_
_atom_site_label
_atom_site_type_symbol
_atom_site_fract_x
_atom_site_fract_y
_atom_site_fract_z
N1 N 0.0000 0.5000 0.0000
N2 N 0.5000 0.0000 0.0000
O1 O 0.0000 0.0000 0.5000
Li1 Li 0.5000 0.5000 0.5000
Ni1 Ni 0.0000 0.0000 0.0000
```


Record 4
An optimized crystal structure of LiNiN2O, computed with PBE+U.

Summary:
Symmetry = P4/mmm (123)
Total magnetic moment = 0.45 μB per atom
Electronic total energy = -3.528 eV per atom

```
data_LiNiN2O
_symmetry_space_group_name_H-M 'P 1'
_symmetry_Int_Tables_number 1
_cell_length_a 3.5295
_cell_length_b 3.5295
_cell_length_c 3.6770
_cell_angle_alpha 90.00
_cell_angle_beta 90.00
_cell_angle_gamma 90.00
loop_
_symmetry_equiv_pos_as_xyz
'x,y,z'
loop_
_atom_site_label
_atom_site_type_symbol
_atom_site_fract_x
_atom_site_fract_y
_atom_site_fract_z
N1 N 0.5000 0.0000 0.0000
N2 N 0.0000 0.5000 0.0000
O1 O 0.0000 0.0000 0.5000
Li1 Li 0.0000 0.0000 0.0000
Ni1 Ni 0.5000 0.5000 0.5000
```


- Which of these has the highest total magnetic moment?
  number 1